Below is a geometry-optimized CuSeF3 structure, with properties calculated at the PBEsol level.

N(E_F) (states/eV/f.u.): 2.2
Formation energy without anion corrections (meV/atom): -416.5
Space group: Pm-3m

The structure in POSCAR format:
```
CuSeF3
1.0
-3.2768 -0.3020 -2.7326
2.6981 -1.1692 -3.1063
-0.5276 -4.1034 1.0862
Cu Se F
1 1 3
direct
0.5000 0.5000 0.5000 Cu
0.0000 0.0000 0.0000 Se
0.0000 0.5000 0.0000 F
0.0000 0.0000 0.5000 F
0.5000 0.0000 0.0000 F
```